# ScOsW (PBE-GGA, optimized geometry)
# formation energy from the elements	1	meV per atom
# mass density	14.06	g cm⁻³
data_ScOsW
_cell_length_a 4.4525
_cell_length_b 4.4525
_cell_length_c 2.8816
_cell_angle_alpha 90.00
_cell_angle_beta 90.00
_cell_angle_gamma 120.00
_space_group_name_H-M_alt 'P 3 m 1'
_space_group_IT_number 156
_space_group_name_Hall 'P 3 -2"'
loop_
_atom_site_label
_atom_site_type_symbol
_atom_site_fract_x
_atom_site_fract_y
_atom_site_fract_z
Sc1 Sc 0.0000 0.0000 0.0000
Os1 Os 0.3333 0.6667 0.6442
W1 W 0.6667 0.3333 0.3745